Material: VTc2O
Method: DFT, GGA+U
State: relaxed

a = 4.161 Å, b = 4.161 Å, c = 4.161 Å
α = 60.00°, β = 60.00°, γ = 60.00°
Fractional coordinates of all 4 atoms:
O1 0.000 0.000 0.000
V1 0.500 0.500 0.500
Tc1 0.250 0.250 0.250
Tc2 0.750 0.750 0.750

Properties
Calculated density in g/cm3: 8.57
Excess energy over the best structure of this formula in the dataset in meV/atom: 586
N(E_F) in states/eV/f.u.: 3.67
Final energy in eV/atom: -7.500